BaY3S after structural relaxation. Source: Alexandria, functional PBE.

Values from the calculation:
For the energy above the most stable polymorph in this dataset, the calculation gives 0.0 meV per atom. The raw total energy comes out at -5.627 eV/atom. The value obtained for the calculated volume is 32.8 Å³/atom. The value obtained for the density is 4.41 g/cm3. The energy relative to the elements, uncorrected is -538.7 meV per atom.

Cell lengths 5.4745, 5.4745, 5.4745 Å; angles 90.00, 90.00, 90.00 degrees
Space group Pm-3m (No. 221)
Unique sites:
Ba: 0.0000 0.0000 0.0000 (multiplicity 1)
Y: 0.0000 0.5000 0.5000 (multiplicity 3)
S: 0.5000 0.5000 0.5000 (multiplicity 1)